LiMo2Pd | PBE | relaxed

V: 14.81 Å³ per atom
density: 8.6 g cm⁻³
raw total energy: -6.93 eV per atom

abc: 4.376 4.376 4.376
angles: 60.00 60.00 60.00
Fractional coordinates of all 4 atoms:
Li1 0.000 0.000 0.000
Mo1 0.500 0.500 0.500
Mo2 0.750 0.750 0.750
Pd1 0.250 0.250 0.250

---

LiPmMo | PBE | relaxed

V: 24.30 Å³ per atom
density: 5.6 g cm⁻³
raw total energy: -4.71 eV per atom

abc: 4.689 4.689 4.689
angles: 60.00 60.00 60.00
Fractional coordinates of all 3 atoms:
Li1 0.000 0.000 0.000
Pm1 0.500 0.500 0.500
Mo1 0.250 0.250 0.250

---

LiPmMo | PBE | relaxed

V: 24.88 Å³ per atom
density: 5.5 g cm⁻³
raw total energy: -4.47 eV per atom

abc: 4.726 4.726 4.726
angles: 60.00 60.00 60.00
Fractional coordinates of all 3 atoms:
Li1 0.000 0.000 0.000
Pm1 0.250 0.250 0.250
Mo1 0.500 0.500 0.500

---

LiPrMo | PBE | relaxed

V: 24.76 Å³ per atom
density: 5.4 g cm⁻³
raw total energy: -4.74 eV per atom

abc: 4.719 4.719 4.719
angles: 60.00 60.00 60.00
Fractional coordinates of all 3 atoms:
Li1 0.000 0.000 0.000
Pr1 0.500 0.500 0.500
Mo1 0.250 0.250 0.250

---

LiPrMo | PBE | relaxed

V: 25.71 Å³ per atom
density: 5.2 g cm⁻³
raw total energy: -4.48 eV per atom

abc: 4.778 4.778 4.778
angles: 60.00 60.00 60.00
Fractional coordinates of all 3 atoms:
Li1 0.000 0.000 0.000
Pr1 0.250 0.250 0.250
Mo1 0.500 0.500 0.500

---

RbLiMoSe3 | PBE | relaxed

V: 24.78 Å³ per atom
density: 4.7 g cm⁻³
raw total energy: -4.74 eV per atom

abc: 7.814 7.814 9.944
angles: 90.00 90.00 150.68
Fractional coordinates of all 12 atoms:
Rb1 0.248 0.752 0.750
Rb2 0.752 0.248 0.250
Li1 0.472 0.528 0.250
Li2 0.528 0.472 0.750
Mo1 0.000 0.000 0.000
Mo2 0.000 0.000 0.500
Se1 0.065 0.935 0.250
Se2 0.388 0.612 0.041
Se3 0.388 0.612 0.459
Se4 0.612 0.388 0.541
Se5 0.612 0.388 0.959
Se6 0.935 0.065 0.750

---

RbLiTe3Mo | PBE | relaxed

V: 30.35 Å³ per atom
density: 5.2 g cm⁻³
raw total energy: -4.30 eV per atom

abc: 8.530 8.530 10.547
angles: 90.00 90.00 151.67
Fractional coordinates of all 12 atoms:
Rb1 0.242 0.758 0.750
Rb2 0.758 0.242 0.250
Li1 0.473 0.527 0.250
Li2 0.527 0.473 0.750
Te1 0.072 0.928 0.250
Te2 0.388 0.612 0.039
Te3 0.388 0.612 0.461
Te4 0.612 0.388 0.539
Te5 0.612 0.388 0.961
Te6 0.928 0.072 0.750
Mo1 0.000 0.000 0.000
Mo2 0.000 0.000 0.500

---

LiReSnMo | PBE | relaxed

V: 15.64 Å³ per atom
density: 10.8 g cm⁻³
raw total energy: -7.27 eV per atom

abc: 4.456 4.456 4.456
angles: 60.00 60.00 60.00
Fractional coordinates of all 4 atoms:
Li1 0.000 0.000 0.000
Re1 0.500 0.500 0.500
Sn1 0.750 0.750 0.750
Mo1 0.250 0.250 0.250

---

LiReSnMo | PBE | relaxed

V: 15.92 Å³ per atom
density: 10.6 g cm⁻³
raw total energy: -6.65 eV per atom

abc: 4.483 4.483 4.483
angles: 60.00 60.00 60.00
Fractional coordinates of all 4 atoms:
Li1 0.000 0.000 0.000
Re1 0.250 0.250 0.250
Sn1 0.500 0.500 0.500
Mo1 0.750 0.750 0.750

---

LiMoS2 | PBE | relaxed

V: 15.38 Å³ per atom
density: 4.5 g cm⁻³
raw total energy: -6.24 eV per atom

abc: 6.235 6.655 6.774
angles: 61.11 89.94 89.76
Fractional coordinates of all 16 atoms:
Li1 0.011 0.481 0.291
Li2 0.022 0.990 0.260
Li3 0.978 0.010 0.740
Li4 0.989 0.519 0.709
Mo1 0.496 0.943 0.808
Mo2 0.500 0.492 0.210
Mo3 0.500 0.508 0.790
Mo4 0.504 0.057 0.192
S1 0.225 0.656 0.931
S2 0.252 0.183 0.894
S3 0.280 0.152 0.431
S4 0.300 0.678 0.409
S5 0.700 0.322 0.591
S6 0.720 0.848 0.569
S7 0.748 0.817 0.106
S8 0.775 0.344 0.069

---

LiTlMoS3 | PBE | relaxed

V: 20.16 Å³ per atom
density: 5.5 g cm⁻³
raw total energy: -5.16 eV per atom

abc: 7.108 7.108 9.565
angles: 90.00 90.00 149.96
Fractional coordinates of all 12 atoms:
Li1 0.045 0.955 0.750
Li2 0.955 0.045 0.250
Tl1 0.234 0.766 0.250
Tl2 0.766 0.234 0.750
Mo1 0.500 0.500 0.000
Mo2 0.500 0.500 0.500
S1 0.119 0.881 0.535
S2 0.119 0.881 0.965
S3 0.443 0.557 0.750
S4 0.557 0.443 0.250
S5 0.881 0.119 0.035
S6 0.881 0.119 0.465

---

LiSbTeMo | PBE | relaxed

V: 19.45 Å³ per atom
density: 7.5 g cm⁻³
raw total energy: -4.95 eV per atom

abc: 4.791 4.791 4.791
angles: 60.00 60.00 60.00
Fractional coordinates of all 4 atoms:
Li1 0.000 0.000 0.000
Sb1 0.750 0.750 0.750
Te1 0.250 0.250 0.250
Mo1 0.500 0.500 0.500